Record 1
# CeEr2Te3 (GGA-PBE, relaxed)
# - V: 30.22 A^3/atom
# - Formation energy from raw total energies: -6.718 eV/f.u.
# - Electronic total energy: -5.2004 eV per atom
# - DOS(E_F): 41.7 states/eV/cell
data_CeEr2Te3
_chemical_formula_sum 'Ce4 Er8 Te12'
_cell_length_a 4.452
_cell_length_b 15.104
_cell_length_c 10.787
_cell_angle_alpha 90.00
_cell_angle_beta 90.00
_cell_angle_gamma 90.00
_symmetry_space_group_name_H-M 'C m c m'
_symmetry_Int_Tables_number 63
_symmetry_space_group_name_Hall '-C 2c 2'
loop_
_atom_site_label
_atom_site_type_symbol
_atom_site_fract_x
_atom_site_fract_y
_atom_site_fract_z
_atom_site_occupancy
Ce1 Ce 0.000 0.209 0.250 1
Er1 Er 0.000 0.000 0.000 1
Er2 Er 0.000 0.494 0.250 1
Te1 Te 0.000 0.134 0.750 1
Te2 Te 0.000 0.362 0.553 1


Record 2
# Rb2CuSF6 (GGA-PBE, relaxed)
# - V: 17.04 A^3/atom
# - Formation energy from raw total energies: -18.827 eV/f.u.
# - Electronic total energy: -4.0214 eV per atom
# - DOS(E_F): 2.7 states/eV/cell
data_Rb2CuSF6
_chemical_formula_sum 'Rb4 Cu2 S2 F12'
_cell_length_a 5.854
_cell_length_b 5.854
_cell_length_c 9.947
_cell_angle_alpha 90.00
_cell_angle_beta 90.00
_cell_angle_gamma 90.00
_symmetry_space_group_name_H-M 'I 4/m m m'
_symmetry_Int_Tables_number 139
_symmetry_space_group_name_Hall '-I 4 2'
loop_
_atom_site_label
_atom_site_type_symbol
_atom_site_fract_x
_atom_site_fract_y
_atom_site_fract_z
_atom_site_occupancy
Rb1 Rb 0.000 0.500 0.250 1
Cu1 Cu 0.000 0.000 0.000 1
S1 S 0.000 0.000 0.500 1
F1 F 0.000 0.000 0.188 1
F2 F 0.230 0.230 0.500 1


Record 3
# Sr2DyOsO8 (GGA-PBE, relaxed)
# - V: 15.62 A^3/atom
# - Formation energy from raw total energies: -23.236 eV/f.u.
# - Electronic total energy: -6.8414 eV per atom
data_Sr2DyOsO8
_chemical_formula_sum 'Sr2 Dy1 Os1 O8'
_cell_length_a 5.122
_cell_length_b 6.796
_cell_length_c 5.383
_cell_angle_alpha 90.00
_cell_angle_beta 90.41
_cell_angle_gamma 90.00
_symmetry_space_group_name_H-M 'P 1 2/m 1'
_symmetry_Int_Tables_number 10
loop_
_symmetry_equiv_pos_as_xyz
'x,y,z'
'-x,-y,-z'
'-x,y,-z'
'x,-y,z'
loop_
_atom_site_label
_atom_site_type_symbol
_atom_site_fract_x
_atom_site_fract_y
_atom_site_fract_z
_atom_site_occupancy
Sr1 Sr 0.000 0.242 0.000 1
Dy1 Dy 0.500 0.500 0.500 1
Os1 Os 0.500 0.000 0.500 1
O1 O 0.287 0.206 0.624 1
O2 O 0.290 0.500 0.139 1
O3 O 0.306 0.000 0.210 1


Record 4
# Y3TmPb5 (GGA-PBE, relaxed)
# - ΔE_f: -367 kJ/mol of formula units
# - V: 28.55 A^3/atom
# - Electronic total energy: -5.1339 eV per atom
# - DOS(E_F): 16.3 states/eV/cell
data_Y3TmPb5
_chemical_formula_sum 'Y6 Tm2 Pb10'
_cell_length_a 9.5412
_cell_length_b 9.5412
_cell_length_c 6.5194
_cell_angle_alpha 90.00
_cell_angle_beta 90.00
_cell_angle_gamma 120.00
_symmetry_space_group_name_H-M 'P 63/m c m'
_symmetry_Int_Tables_number 193
_symmetry_space_group_name_Hall '-P 6c 2'
loop_
_atom_site_label
_atom_site_type_symbol
_atom_site_fract_x
_atom_site_fract_y
_atom_site_fract_z
_atom_site_occupancy
Y1 Y 0.0000 0.3821 0.2500 1
Tm1 Tm 0.0000 0.0000 0.0000 1
Pb1 Pb 0.0000 0.2852 0.7500 1
Pb2 Pb 0.3333 0.6667 0.0000 1


Record 5
# Sr3AuBr (GGA-PBE, relaxed)
# - Offset from the most stable computed form: 0 kJ/mol of formula units
# - V: 45.34 A^3/atom
# - Formation energy from raw total energies: -3.313 eV/f.u.
# - Electronic total energy: -2.6618 eV per atom
# - DOS(E_F): 2.8 states/eV/cell
data_Sr3AuBr
_chemical_formula_sum 'Sr3 Au1 Br1'
_cell_length_a 6.098
_cell_length_b 6.098
_cell_length_c 6.098
_cell_angle_alpha 90.00
_cell_angle_beta 90.00
_cell_angle_gamma 90.00
_symmetry_space_group_name_H-M 'P m -3 m'
_symmetry_Int_Tables_number 221
_symmetry_space_group_name_Hall '-P 4 2 3'
loop_
_atom_site_label
_atom_site_type_symbol
_atom_site_fract_x
_atom_site_fract_y
_atom_site_fract_z
_atom_site_occupancy
Sr1 Sr 0.000 0.000 0.500 1
Au1 Au 0.000 0.000 0.000 1
Br1 Br 0.500 0.500 0.500 1


Record 6
# Hf6BeSn2 (GGA-PBE, relaxed)
# - ΔE_f: 430 kJ/mol of formula units
# - V: 25.48 A^3/atom
# - Electronic total energy: -7.4437 eV per atom
# - DOS(E_F): 14.6 states/eV/cell
data_Hf6BeSn2
_chemical_formula_sum 'Hf12 Be2 Sn4'
_cell_length_a 5.986
_cell_length_b 5.986
_cell_length_c 12.801
_cell_angle_alpha 90.00
_cell_angle_beta 90.00
_cell_angle_gamma 90.00
_symmetry_space_group_name_H-M 'P 42/m n m'
_symmetry_Int_Tables_number 136
_symmetry_space_group_name_Hall '-P 4n 2n'
loop_
_atom_site_label
_atom_site_type_symbol
_atom_site_fract_x
_atom_site_fract_y
_atom_site_fract_z
_atom_site_occupancy
Hf1 Hf 0.189 0.189 0.128 1
Hf2 Hf 0.213 0.213 0.500 1
Be1 Be 0.000 0.000 0.000 1
Sn1 Sn 0.000 0.000 0.316 1


Record 7
# NiAgP (GGA-PBE, relaxed)
# - ΔE_f: -2 kJ/mol of formula units
# - Offset from the most stable computed form: 34 kJ/mol of formula units
# - V: 15.00 A^3/atom
# - Electronic total energy: -4.6875 eV per atom
# - DOS(E_F): 0.5 states/eV/cell
data_NiAgP
_chemical_formula_sum 'Ni1 Ag1 P1'
_cell_length_a 2.9351
_cell_length_b 2.9351
_cell_length_c 6.0301
_cell_angle_alpha 90.00
_cell_angle_beta 90.00
_cell_angle_gamma 120.00
_symmetry_space_group_name_H-M 'P 3 m 1'
_symmetry_Int_Tables_number 156
loop_
_symmetry_equiv_pos_as_xyz
'x,y,z'
'-y,x-y,z'
'-x+y,-x,z'
'-y,-x,z'
'-x+y,y,z'
'x,x-y,z'
loop_
_atom_site_label
_atom_site_type_symbol
_atom_site_fract_x
_atom_site_fract_y
_atom_site_fract_z
_atom_site_occupancy
Ni1 Ni 0.0000 0.0000 0.0000 1
Ag1 Ag 0.6667 0.3333 0.6372 1
P1 P 0.3333 0.6667 0.2309 1


Record 8
# Zn2CrTc (GGA-PBE, relaxed)
# - ΔE_f: 60 kJ/mol of formula units
# - Offset from the most stable computed form: 45 kJ/mol of formula units
# - V: 13.65 A^3/atom
# - Electronic total energy: -5.4788 eV per atom
# - DOS(E_F): 4.8 states/eV/cell
data_Zn2CrTc
_chemical_formula_sum 'Zn4 Cr2 Tc2'
_cell_length_a 8.612
_cell_length_b 2.663
_cell_length_c 4.792
_cell_angle_alpha 90.00
_cell_angle_beta 96.57
_cell_angle_gamma 90.00
_symmetry_space_group_name_H-M 'C 1 m 1'
_symmetry_Int_Tables_number 8
loop_
_symmetry_equiv_pos_as_xyz
'x,y,z'
'x,-y,z'
'x+1/2,y+1/2,z'
'x+1/2,-y+1/2,z'
loop_
_atom_site_label
_atom_site_type_symbol
_atom_site_fract_x
_atom_site_fract_y
_atom_site_fract_z
_atom_site_occupancy
Zn1 Zn 0.000 0.000 0.000 1
Zn2 Zn 0.249 0.000 0.785 1
Cr1 Cr 0.005 0.500 0.494 1
Tc1 Tc 0.248 0.500 0.296 1


Record 9
# MgCd2Co (GGA-PBE, relaxed)
# - ΔE_f: 57 kJ/mol of formula units
# - V: 18.35 A^3/atom
# - Electronic total energy: -2.4859 eV per atom
# - DOS(E_F): 9.7 states/eV/cell
data_MgCd2Co
_chemical_formula_sum 'Mg2 Cd4 Co2'
_cell_length_a 10.811
_cell_length_b 3.207
_cell_length_c 4.646
_cell_angle_alpha 90.00
_cell_angle_beta 114.33
_cell_angle_gamma 90.00
_symmetry_space_group_name_H-M 'C 1 2/m 1'
_symmetry_Int_Tables_number 12
loop_
_symmetry_equiv_pos_as_xyz
'x,y,z'
'-x,-y,-z'
'-x,y,-z'
'x,-y,z'
'x+1/2,y+1/2,z'
'-x+1/2,-y+1/2,-z'
'-x+1/2,y+1/2,-z'
'x+1/2,-y+1/2,z'
loop_
_atom_site_label
_atom_site_type_symbol
_atom_site_fract_x
_atom_site_fract_y
_atom_site_fract_z
_atom_site_occupancy
Mg1 Mg 0.000 0.000 0.000 1
Cd1 Cd 0.215 0.000 0.716 1
Co1 Co 0.000 0.500 0.500 1


Record 10
# Ac3Ag4Sn4 (GGA-PBE, relaxed)
# - ΔE_f: -582 kJ/mol of formula units
# - Offset from the most stable computed form: 0 kJ/mol of formula units
# - V: 27.33 A^3/atom
# - Electronic total energy: -4.1611 eV per atom
# - DOS(E_F): 6.4 states/eV/cell
data_Ac3Ag4Sn4
_chemical_formula_sum 'Ac6 Ag8 Sn8'
_cell_length_a 4.890
_cell_length_b 7.584
_cell_length_c 16.211
_cell_angle_alpha 90.00
_cell_angle_beta 90.00
_cell_angle_gamma 90.00
_symmetry_space_group_name_H-M 'I m m m'
_symmetry_Int_Tables_number 71
_symmetry_space_group_name_Hall '-I 2 2'
loop_
_atom_site_label
_atom_site_type_symbol
_atom_site_fract_x
_atom_site_fract_y
_atom_site_fract_z
_atom_site_occupancy
Ac1 Ac 0.000 0.000 0.000 1
Ac2 Ac 0.000 0.500 0.132 1
Ag1 Ag 0.000 0.311 0.333 1
Sn1 Sn 0.000 0.000 0.217 1
Sn2 Sn 0.000 0.191 0.500 1


Record 11
# Hf3Be (GGA-PBE, relaxed)
# - ΔE_f: 38 kJ/mol of formula units
# - Offset from the most stable computed form: 15 kJ/mol of formula units
# - V: 19.02 A^3/atom
# - Electronic total energy: -8.2983 eV per atom
# - DOS(E_F): 4.0 states/eV/cell
data_Hf3Be
_chemical_formula_sum 'Hf6 Be2'
_cell_length_a 4.175
_cell_length_b 4.175
_cell_length_c 8.732
_cell_angle_alpha 90.00
_cell_angle_beta 90.00
_cell_angle_gamma 90.00
_symmetry_space_group_name_H-M 'I 4/m m m'
_symmetry_Int_Tables_number 139
_symmetry_space_group_name_Hall '-I 4 2'
loop_
_atom_site_label
_atom_site_type_symbol
_atom_site_fract_x
_atom_site_fract_y
_atom_site_fract_z
_atom_site_occupancy
Hf1 Hf 0.000 0.000 0.000 1
Hf2 Hf 0.000 0.500 0.250 1
Be1 Be 0.000 0.000 0.500 1


Record 12
# CaAgOs2 (GGA-PBE, relaxed)
# - ΔE_f: 133 kJ/mol of formula units
# - Offset from the most stable computed form: 6 kJ/mol of formula units
# - V: 18.88 A^3/atom
# - Electronic total energy: -6.4832 eV per atom
# - DOS(E_F): 3.1 states/eV/cell
data_CaAgOs2
_chemical_formula_sum 'Ca1 Ag1 Os2'
_cell_length_a 2.864
_cell_length_b 3.732
_cell_length_c 7.067
_cell_angle_alpha 90.00
_cell_angle_beta 90.00
_cell_angle_gamma 90.00
_symmetry_space_group_name_H-M 'P m m 2'
_symmetry_Int_Tables_number 25
loop_
_symmetry_equiv_pos_as_xyz
'x,y,z'
'-x,-y,z'
'-x,y,z'
'x,-y,z'
loop_
_atom_site_label
_atom_site_type_symbol
_atom_site_fract_x
_atom_site_fract_y
_atom_site_fract_z
_atom_site_occupancy
Ca1 Ca 0.000 0.000 0.000 1
Ag1 Ag 0.500 0.500 0.705 1
Os1 Os 0.000 0.000 0.449 1
Os2 Os 0.500 0.500 0.303 1


Which of these has the highest V?
Sr3AuBr


Which formula does entry 10 have?
Ac3Ag4Sn4


What did the ninth record say?
# MgCd2Co (GGA-PBE, relaxed)
# - ΔE_f: 57 kJ/mol of formula units
# - V: 18.35 A^3/atom
# - Electronic total energy: -2.4859 eV per atom
# - DOS(E_F): 9.7 states/eV/cell
data_MgCd2Co
_chemical_formula_sum 'Mg2 Cd4 Co2'
_cell_length_a 10.811
_cell_length_b 3.207
_cell_length_c 4.646
_cell_angle_alpha 90.00
_cell_angle_beta 114.33
_cell_angle_gamma 90.00
_symmetry_space_group_name_H-M 'C 1 2/m 1'
_symmetry_Int_Tables_number 12
loop_
_symmetry_equiv_pos_as_xyz
'x,y,z'
'-x,-y,-z'
'-x,y,-z'
'x,-y,z'
'x+1/2,y+1/2,z'
'-x+1/2,-y+1/2,-z'
'-x+1/2,y+1/2,-z'
'x+1/2,-y+1/2,z'
loop_
_atom_site_label
_atom_site_type_symbol
_atom_site_fract_x
_atom_site_fract_y
_atom_site_fract_z
_atom_site_occupancy
Mg1 Mg 0.000 0.000 0.000 1
Cd1 Cd 0.215 0.000 0.716 1
Co1 Co 0.000 0.500 0.500 1